[1]
A plane-wave DFT calculation with PBE was carried out for a relaxed Mg2ZnCr crystal.

Unit cell a=5.0855 b=5.0855 c=5.0855 alpha=131.06 beta=131.06 gamma=71.73
With the nearest neighbours (Å) after each atom.
Positions (direct):
Mg  0.2500  0.7500  0.5000  4 Cr 2.95, 4 Zn 2.95, 4 Mg 2.98
Mg  0.7500  0.2500  0.5000  4 Cr 2.95, 4 Zn 2.95, 4 Mg 2.98
Zn  0.0000  0.0000  0.0000  8 Mg 2.95, 4 Cr 2.98
Cr  0.5000  0.5000  0.0000  8 Mg 2.95, 4 Zn 2.98

## Properties
Fermi-level density of states = 1.1 states/eV per cell
DFT formation energy = 212 meV/atom
mass density = 3.8 Mg/m³

[2]
A plane-wave DFT calculation with PBE was carried out for a relaxed Mg2ZnCr crystal.

Unit cell a=2.7615 b=2.7615 c=8.7967 alpha=90.00 beta=90.00 gamma=99.67
With the nearest neighbours (Å) after each atom.
Positions (direct):
Mg  0.0000  0.0000  0.0000  4 Cr 2.73-2.96, 4 Mg 2.76
Mg  0.5000  0.5000  0.3003  4 Mg 2.76, 4 Zn 2.84-3.06
Zn  0.0000  0.0000  0.5522  4 Cr 2.58-2.82, 4 Zn 2.76, 2 Mg 2.84
Cr  0.5000  0.5000  0.7643  4 Zn 2.58-2.82, 2 Mg 2.73, 4 Cr 2.76

## Properties
Fermi-level density of states = 2.2 states/eV per cell
DFT formation energy = 310 meV/atom
mass density = 4.2 Mg/m³